Arrangement i

Here is YCuNF2 after structural relaxation from Alexandria. Energies are from PBE-GGA.

abc: 4.2838 4.2838 4.7457
angles: 90.00 90.00 90.00
With the nearest neighbours (Å) after each atom.
Atoms (fractional coordinates):
Y (0.0000, 0.0000, 0.0000)  4 F 2.14, 2 N 2.37
N (0.0000, 0.0000, 0.5000)  2 Y 2.37
Cu (0.5000, 0.5000, 0.5000)  4 N 3.03, 8 F 3.20
F (0.0000, 0.5000, 0.0000)  2 Y 2.14
F (0.5000, 0.0000, 0.0000)  2 Y 2.14

Values from the calculation:
* magnetization: 1.02 μB/f.u.
* space group: P4/mmm
* V: 17.42 Å³ per atom



Arrangement ii

Here is YCuNF2 after structural relaxation from Alexandria. Energies are from PBE-GGA.

abc: 3.8454 3.8454 4.1653
angles: 90.00 90.00 90.00
With the nearest neighbours (Å) after each atom.
Atoms (fractional coordinates):
Y (0.5000, 0.5000, 0.5000)  4 N 2.72, 8 F 2.83
N (0.0000, 0.0000, 0.5000)  2 Cu 2.08
Cu (0.0000, 0.0000, 0.0000)  4 F 1.92, 2 N 2.08
F (0.0000, 0.5000, 0.0000)  2 Cu 1.92
F (0.5000, 0.0000, 0.0000)  2 Cu 1.92

Values from the calculation:
* magnetization: 0.00 μB/f.u.
* space group: P4/mmm
* V: 12.32 Å³ per atom



Of them, arrangement ii has the highest stability.



Arrangement i

Here is ZnCuNF2 after structural relaxation from Alexandria. Energies are from PBE-GGA.

abc: 3.8796 3.8796 3.9272
angles: 90.00 90.00 90.00
With the nearest neighbours (Å) after each atom.
Atoms (fractional coordinates):
Zn (0.5000, 0.5000, 0.5000)  4 N 2.74, 8 F 2.76
N (0.0000, 0.0000, 0.5000)  2 Cu 1.96
Cu (0.0000, 0.0000, 0.0000)  4 F 1.94, 2 N 1.96
F (0.0000, 0.5000, 0.0000)  2 Cu 1.94
F (0.5000, 0.0000, 0.0000)  2 Cu 1.94

Values from the calculation:
* magnetization: 1.20 μB/f.u.
* space group: P4/mmm
* V: 11.82 Å³ per atom



Arrangement ii

Here is ZnCuNF2 after structural relaxation from Alexandria. Energies are from PBE-GGA.

abc: 4.0141 4.0141 3.9611
angles: 90.00 90.00 90.00
With the nearest neighbours (Å) after each atom.
Atoms (fractional coordinates):
Zn (0.0000, 0.0000, 0.0000)  2 N 1.98, 4 F 2.01
N (0.0000, 0.0000, 0.5000)  2 Zn 1.98
Cu (0.5000, 0.5000, 0.5000)  8 F 2.82, 4 N 2.84
F (0.0000, 0.5000, 0.0000)  2 Zn 2.01
F (0.5000, 0.0000, 0.0000)  2 Zn 2.01

Values from the calculation:
* magnetization: 1.91 μB/f.u.
* space group: P4/mmm
* V: 12.77 Å³ per atom



Of them, arrangement i has the highest stability.